[1]
Entry from Alexandria via LeMat-Bulk: an optimized crystal structure of Cs3Sm3VO8 (GGA+U).

```
Cs3Sm3VO8
1.0
3.496 2.019 6.950
-3.496 2.019 6.950
0.000 -4.037 6.950
Cs Sm V O
3 3 1 8
Cartesian
-1.748 -1.009 6.950
-1.748 1.009 13.900
0.000 2.019 6.950
-3.496 0.000 10.425
-1.748 1.009 3.475
1.748 1.009 3.475
0.000 0.000 10.425
0.000 0.000 4.629
-1.536 -0.887 11.479
0.000 -1.774 9.370
-1.536 0.887 9.370
1.536 -0.887 11.479
0.000 1.774 11.479
1.536 0.887 9.370
0.000 0.000 16.221
```

The value obtained for the total energy is -6.68 eV/atom.

***

[2]
Entry from Alexandria via LeMat-Bulk: an optimized crystal structure of CsSmW2O8 (GGA+U).

```
CsSmW2O8
1.0
2.951 1.704 8.837
-2.951 1.704 8.837
0.000 -3.407 8.837
Cs Sm W O
1 1 2 8
Cartesian
0.000 0.000 0.000
0.000 0.000 13.256
0.000 0.000 6.350
0.000 0.000 20.163
-1.237 -1.437 11.902
-1.863 0.352 14.611
0.000 0.000 8.132
0.626 -1.790 14.611
-0.626 1.790 11.902
0.000 0.000 18.380
1.863 -0.352 11.902
1.237 1.437 14.611
```

The value obtained for the total energy is -7.31 eV/atom.

***

[3]
Entry from Alexandria via LeMat-Bulk: an optimized crystal structure of CsSmW2O8 (GGA+U).

```
CsSmW2O8
1.0
5.543 -5.473 0.000
5.543 5.473 0.000
-4.890 0.000 5.818
Cs Sm W O
2 2 4 16
Cartesian
1.876 3.285 4.363
4.321 -3.285 1.454
4.321 3.024 1.454
1.876 -3.024 4.363
2.028 0.058 1.657
-0.417 -0.058 4.566
6.614 0.058 1.252
4.169 -0.058 4.161
-1.880 0.951 4.093
1.760 1.666 0.758
0.566 -0.951 1.184
0.738 0.664 3.286
-0.685 -1.666 3.667
5.180 1.176 0.201
3.183 -0.664 0.377
3.462 1.176 2.708
2.734 -1.176 3.109
3.014 0.664 5.441
1.017 -1.176 5.617
6.882 1.666 2.151
5.459 -0.664 2.532
5.631 0.951 4.634
4.436 -1.666 5.060
8.076 -0.951 1.725
```

The value obtained for the total energy is -7.37 eV/atom.

***

[4]
Entry from Alexandria via LeMat-Bulk: an optimized crystal structure of Cs2SmW3O12 (GGA+U).

```
Cs2SmW3O12
1.0
3.771 2.177 6.426
-3.771 2.177 6.426
0.000 -4.354 6.426
Cs Sm W O
2 1 3 12
Cartesian
0.000 0.000 2.400
0.000 0.000 16.878
0.000 0.000 9.639
-1.885 -1.088 6.426
-1.885 1.088 12.852
0.000 2.177 6.426
-1.655 -0.956 8.311
0.000 -1.598 6.239
-1.384 0.799 6.239
0.000 -1.911 10.968
-1.655 0.956 10.968
-1.384 -0.799 13.040
1.384 0.799 6.239
1.655 -0.956 8.311
0.000 1.911 8.311
1.384 -0.799 13.040
0.000 1.598 13.040
1.655 0.956 10.968
```

The value obtained for the total energy is -7.04 eV/atom.